Computed, not measured: a relaxed structure of MgOsPt2 at the PBE-GGA level of DFT.

a = 2.769 Å, b = 3.994 Å, c = 5.550 Å
α = 90.00°, β = 90.00°, γ = 90.00°
Fractional coordinates of all 4 atoms:
Mg 0.500 0.500 0.250
Pt 0.000 0.000 0.993
Pt 0.000 0.000 0.507
Os 0.500 0.500 0.750

Total moment = 0.00 μB/f.u.
Energy of formation = -201 meV per atom
Fermi-level density of states = 3.0 states/eV/f.u.
Total DFT energy (no corrections) = -25.71 eV per cell

Computed, not measured: a relaxed structure of Mg2OsPt at the PBE-GGA level of DFT.

a = 4.500 Å, b = 4.500 Å, c = 4.500 Å
α = 60.00°, β = 60.00°, γ = 60.00°
Fractional coordinates of all 4 atoms:
Mg 0.000 0.000 0.000
Mg 0.250 0.250 0.250
Os 0.500 0.500 0.500
Pt 0.750 0.750 0.750

Total moment = 1.23 μB/f.u.
Energy of formation = 35 meV per atom
Fermi-level density of states = 5.1 states/eV/f.u.
Total DFT energy (no corrections) = -20.32 eV per cell

Computed, not measured: a relaxed structure of MgOsPt2 at the PBE-GGA level of DFT.

a = 3.315 Å, b = 3.315 Å, c = 5.717 Å
α = 90.00°, β = 90.00°, γ = 90.00°
Fractional coordinates of all 4 atoms:
Pt 0.500 0.500 0.261
Pt 0.000 0.000 0.982
Os 0.500 0.500 0.769
Mg 0.000 0.000 0.488

Total moment = 0.00 μB/f.u.
Energy of formation = 13 meV per atom
Fermi-level density of states = 4.0 states/eV/f.u.
Total DFT energy (no corrections) = -24.85 eV per cell

Computed, not measured: a relaxed structure of MgOsPt2 at the PBE-GGA level of DFT.

a = 2.785 Å, b = 2.785 Å, c = 7.953 Å
α = 90.00°, β = 90.00°, γ = 90.00°
Fractional coordinates of all 4 atoms:
Pt 0.000 0.000 0.508
Pt 0.000 0.000 0.992
Os 0.500 0.500 0.750
Mg 0.500 0.500 0.250

Total moment = 0.00 μB/f.u.
Energy of formation = -243 meV per atom
Fermi-level density of states = 4.0 states/eV/f.u.
Total DFT energy (no corrections) = -25.88 eV per cell